No. 1
Y2ZnPb: relaxed, PBE-GGA.

Structure (POSCAR):
```
Y2ZnPb
1.0
8.036 0.000 0.000
0.000 8.036 0.000
4.018 4.018 3.499
Pb Y Zn
2 4 2
Cartesian
0.000 0.000 0.000
8.036 4.018 1.749
5.842 2.009 0.875
2.193 6.027 0.875
6.027 6.211 2.624
10.045 9.860 2.624
4.018 4.018 0.000
4.018 8.036 1.749
```

Calculated values
Formation energy from the elements: -144 meV per atom

=====

No. 2
Y2ZnPb: relaxed, PBE-GGA.

Structure (POSCAR):
```
Y2ZnPb
1.0
4.364 0.000 0.000
0.000 6.122 -0.015
0.000 -3.071 7.995
Y Zn Pb
4 2 2
Cartesian
3.273 -0.091 3.487
1.091 3.142 4.493
1.091 4.510 0.618
3.273 -1.460 7.362
3.273 3.186 2.334
1.091 -0.135 5.646
1.091 1.392 1.684
3.273 1.659 6.296
```

Calculated values
Formation energy from the elements: -433 meV per atom

=====

No. 3
Y2ZnPb: relaxed, PBE-GGA.

Structure (POSCAR):
```
Y2ZnPb
1.0
-4.892 1.931 -0.962
-2.946 -2.039 -3.969
-4.310 -2.960 1.118
Pb Y Zn
1 2 1
Cartesian
-6.074 -1.534 -1.906
0.000 0.000 0.000
-3.037 -0.767 -0.953
-9.111 -2.301 -2.860
```

Calculated values
Formation energy from the elements: 130 meV per atom

=====

No. 4
YZnPb4: relaxed, PBE-GGA.

Structure (POSCAR):
```
YZnPb4
1.0
0.000 4.525 4.525
4.525 0.000 4.525
4.525 4.525 0.000
Y Zn Pb
1 1 4
Cartesian
6.788 6.788 6.788
0.000 0.000 0.000
3.403 5.648 5.648
5.648 5.648 3.403
5.648 3.403 5.648
3.403 3.403 3.403
```

Calculated values
Formation energy from the elements: 134 meV per atom